5
Lattice="4.980 0.000 0.000 0.000 4.980 0.000 0.000 0.000 5.198" Properties=species:S:1:pos:R:3 comment="As2WBrF PBE+U optimized geometry" dft_energy_ev_per_atom=-3.695 spacegroup="P4/mmm, No. 123" pbc="T T T"
As 0.000 2.490 0.000
As 2.490 0.000 0.000
W 0.000 0.000 0.000
Br 0.000 0.000 2.599
F 2.490 2.490 2.599